Compound: AgBrCl2
Source: Alexandria via LeMat-Bulk
Functional: PBE-GGA
Structure: optimized geometry

## Properties
DOS(E_F): 4.6 states/eV/cell
polymorph energy (0 for the lowest one): 312.2 meV per atom
volume: 27.3 Å³/atom
energy relative to the elements, uncorrected: 0.087 eV per atom

```
data_AgBrCl2
_cell_length_a 3.116
_cell_length_b 3.116
_cell_length_c 11.244
_cell_angle_alpha 90.00
_cell_angle_beta 90.00
_cell_angle_gamma 90.00
_symmetry_space_group_name_H-M 'P 1'
_symmetry_Int_Tables_number 1
loop_
_symmetry_equiv_pos_as_xyz
'x,y,z'
loop_
_atom_site_label
_atom_site_type_symbol
_atom_site_fract_x
_atom_site_fract_y
_atom_site_fract_z
Ag1 Ag 0.000 0.000 0.000
Br1 Br 0.000 0.000 0.500
Cl1 Cl 0.500 0.500 0.156
Cl2 Cl 0.500 0.500 0.844
```



Compound: Ag2BrCl6
Source: Alexandria via LeMat-Bulk
Functional: PBE-GGA
Structure: optimized geometry

## Properties
DOS(E_F): 7.8 states/eV/cell
polymorph energy (0 for the lowest one): 0.0 meV per atom
volume: 37.2 Å³/atom
energy relative to the elements, uncorrected: -0.172 eV per atom

```
data_Ag2BrCl6
_cell_length_a 9.365
_cell_length_b 9.365
_cell_length_c 7.762
_cell_angle_alpha 92.63
_cell_angle_beta 92.63
_cell_angle_gamma 99.83
_symmetry_space_group_name_H-M 'P 1'
_symmetry_Int_Tables_number 1
loop_
_symmetry_equiv_pos_as_xyz
'x,y,z'
loop_
_atom_site_label
_atom_site_type_symbol
_atom_site_fract_x
_atom_site_fract_y
_atom_site_fract_z
Ag1 Ag 0.196 0.277 0.401
Ag2 Ag 0.277 0.196 0.901
Ag3 Ag 0.723 0.804 0.099
Ag4 Ag 0.804 0.723 0.599
Br1 Br 0.374 0.626 0.250
Br2 Br 0.626 0.374 0.750
Cl1 Cl 0.025 0.424 0.914
Cl2 Cl 0.094 0.180 0.673
Cl3 Cl 0.180 0.094 0.173
Cl4 Cl 0.269 0.529 0.506
Cl5 Cl 0.424 0.025 0.414
Cl6 Cl 0.471 0.731 0.994
Cl7 Cl 0.529 0.269 0.006
Cl8 Cl 0.576 0.975 0.586
Cl9 Cl 0.731 0.471 0.494
Cl10 Cl 0.820 0.906 0.827
Cl11 Cl 0.906 0.820 0.327
Cl12 Cl 0.975 0.576 0.086
```